{"formula": "La4Pt2SeCl", "functional": "PBE", "state": "relaxed", "magmom_total_mub_per_fu": 0.0, "dft_energy_ev_per_atom": -6.109, "formation_energy_uncorrected_ev_per_atom": -1.469, "mass_density_kg_m3": 7921, "lattice": [[-5.5019, 1.0975, -2.1287], [-2.3035, -3.8930, 3.9428], [3.2239, 5.9571, 3.1981]], "species": ["Pt", "La", "Se", "La", "La", "Pt", "La", "Cl"], "fractional_positions": [[0.1869, 0.6869, 0.5000], [0.9373, 0.4375, 0.0000], [0.9376, 0.9376, 0.0000], [0.1838, 0.1838, 0.4938], [0.4375, 0.9373, 0.0000], [0.6869, 0.1869, 0.5000], [0.6900, 0.6900, 0.5062], [0.4373, 0.4373, 0.0000]]}

{"formula": "La4SiPtCl2", "functional": "PBE", "state": "relaxed", "magmom_total_mub_per_fu": 0.0, "dft_energy_ev_per_atom": -5.673, "formation_energy_uncorrected_ev_per_atom": -1.314, "mass_density_kg_m3": 6234, "lattice": [[-3.7691, 0.2255, 1.9318], [2.9726, -2.7513, 6.1209], [2.5789, 5.7895, 4.3559]], "species": ["La", "Si", "Cl", "La", "La", "Cl", "La", "Pt"], "fractional_positions": [[0.0000, 0.2748, 0.2371], [0.0000, 0.5000, 0.5000], [0.5000, 0.0000, 0.5000], [0.5000, 0.7380, 0.2574], [0.0000, 0.7252, 0.7629], [0.0000, 0.0000, 0.0000], [0.5000, 0.2620, 0.7426], [0.5000, 0.5000, 0.0000]]}

{"formula": "LaSmPtCl", "functional": "PBE", "state": "relaxed", "magmom_total_mub_per_fu": 0.0, "dft_energy_ev_per_atom": -5.750, "formation_energy_uncorrected_ev_per_atom": -1.366, "mass_density_kg_m3": 7552, "lattice": [[4.1427, -0.0005, -0.0008], [-2.0709, 3.5873, 0.0006], [-2.0719, -1.1945, 7.6916]], "species": ["La", "Cl", "Pt", "Sm"], "fractional_positions": [[0.4982, 0.1471, 0.6606], [0.9629, 0.3797, 0.3569], [0.3078, 0.5518, 0.8751], [0.1090, 0.9522, 0.0771]]}

{"formula": "La3SnPtCl", "functional": "PBE", "state": "relaxed", "magmom_total_mub_per_fu": 0.4, "dft_energy_ev_per_atom": -5.566, "formation_energy_uncorrected_ev_per_atom": -1.121, "mass_density_kg_m3": 7134, "lattice": [[4.5992, 0.0000, 0.0000], [0.0000, 7.9610, -0.1855], [0.0000, -3.3211, 9.8157]], "species": ["La", "Cl", "La", "La", "La", "Sn", "Sn", "La", "Pt", "Cl", "Pt", "La"], "fractional_positions": [[0.7500, 0.2862, 0.5164], [0.7500, 0.8720, 0.3913], [0.2500, 0.0628, 0.8790], [0.2500, 0.5270, 0.8447], [0.7500, 0.9372, 0.1210], [0.7500, 0.7361, 0.7243], [0.2500, 0.2639, 0.2757], [0.7500, 0.4730, 0.1553], [0.7500, 0.2870, 0.8656], [0.2500, 0.1280, 0.6087], [0.2500, 0.7130, 0.1344], [0.2500, 0.7138, 0.4836]]}

{"formula": "La4TcPtCl2", "functional": "PBE", "state": "relaxed", "magmom_total_mub_per_fu": 0.0, "dft_energy_ev_per_atom": -6.091, "formation_energy_uncorrected_ev_per_atom": -1.114, "mass_density_kg_m3": 6564, "lattice": [[-3.3388, 2.3376, 1.0416], [-4.4994, -6.6261, 0.4478], [0.4056, -2.4458, 6.7895]], "species": ["Cl", "La", "La", "Pt", "La", "Tc", "La", "Cl"], "fractional_positions": [[0.5000, 0.0000, 0.5000], [0.5000, 0.7107, 0.2741], [0.0000, 0.7050, 0.7496], [0.5000, 0.5000, 0.0000], [0.0000, 0.2950, 0.2504], [0.0000, 0.5000, 0.5000], [0.5000, 0.2893, 0.7259], [0.0000, 0.0000, 0.0000]]}

{"formula": "La6Tc2PtCl3", "functional": "PBE", "state": "relaxed", "magmom_total_mub_per_fu": 0.0, "dft_energy_ev_per_atom": -6.135, "formation_energy_uncorrected_ev_per_atom": -0.978, "mass_density_kg_m3": 6330, "lattice": [[-0.5557, -4.1219, 0.4333], [4.9203, -1.4469, -7.4530], [6.2093, 2.0751, 7.5245]], "species": ["La", "La", "La", "Pt", "La", "Cl", "Cl", "La", "Tc", "Tc", "La", "Cl"], "fractional_positions": [[0.3249, 0.4428, 0.6498], [0.0191, 0.2430, 0.0381], [0.9809, 0.7570, 0.9619], [0.5000, 0.0000, 0.0000], [0.6606, 0.1120, 0.3213], [0.8262, 0.1648, 0.6525], [0.1738, 0.8352, 0.3475], [0.3394, 0.8880, 0.6787], [0.8460, 0.6719, 0.6919], [0.1540, 0.3281, 0.3081], [0.6751, 0.5572, 0.3502], [0.5000, 0.5000, 0.0000]]}

{"formula": "La8Te4Pt3Cl", "functional": "PBE", "state": "relaxed", "magmom_total_mub_per_fu": 0.0, "dft_energy_ev_per_atom": -5.923, "formation_energy_uncorrected_ev_per_atom": -1.426, "mass_density_kg_m3": 7477, "lattice": [[-5.6232, -6.5456, -1.0178], [6.5174, -4.9799, -3.9814], [1.5158, 3.2329, 7.9245]], "species": ["La", "La", "Te", "Pt", "Pt", "Te", "La", "La", "Te", "Cl", "Pt", "La", "Te", "La", "La", "La"], "fractional_positions": [[0.7370, 0.7107, 0.4740], [0.7313, 0.7250, 0.9784], [0.5000, 0.0000, 0.0000], [0.5000, 0.5000, 0.0000], [0.5000, 0.5000, 0.5000], [0.5000, 0.0000, 0.5000], [0.2470, 0.7250, 0.9784], [0.7531, 0.2751, 0.5062], [0.0000, 0.0000, 0.0000], [0.0000, 0.5000, 0.0000], [0.0000, 0.5000, 0.5000], [0.2687, 0.2750, 0.0216], [0.0000, 0.0000, 0.5000], [0.2630, 0.2893, 0.5260], [0.7530, 0.2750, 0.0216], [0.2469, 0.7249, 0.4938]]}

{"formula": "La4Te2PtCl", "functional": "PBE", "state": "relaxed", "magmom_total_mub_per_fu": 0.0, "dft_energy_ev_per_atom": -5.726, "formation_energy_uncorrected_ev_per_atom": -1.491, "mass_density_kg_m3": 7029, "lattice": [[-3.3722, 2.2441, -1.4303], [-4.9006, -5.1557, 3.4647], [-1.4758, 2.3382, 7.1477]], "species": ["La", "La", "Cl", "La", "Te", "La", "Pt", "Te"], "fractional_positions": [[0.0000, 0.7310, 0.7556], [0.5000, 0.2801, 0.7240], [0.5000, 0.5000, 0.0000], [0.5000, 0.7199, 0.2760], [0.0000, 0.0000, 0.0000], [0.0000, 0.2690, 0.2444], [0.0000, 0.5000, 0.5000], [0.5000, 0.0000, 0.5000]]}

{"formula": "La3TePtCl", "functional": "PBE", "state": "relaxed", "magmom_total_mub_per_fu": 0.1, "dft_energy_ev_per_atom": -5.646, "formation_energy_uncorrected_ev_per_atom": -1.344, "mass_density_kg_m3": 6960, "lattice": [[4.3595, 0.0000, 0.0000], [0.0000, 8.8127, 0.1098], [0.0000, -2.2220, 9.5966]], "species": ["La", "La", "La", "Cl", "Pt", "La", "Pt", "Te", "La", "Te", "Cl", "La"], "fractional_positions": [[0.7500, 0.2682, 0.5212], [0.2500, 0.1171, 0.8864], [0.7500, 0.8829, 0.1136], [0.2500, 0.0875, 0.5963], [0.2500, 0.6667, 0.1479], [0.7500, 0.4459, 0.1626], [0.7500, 0.3332, 0.8521], [0.7500, 0.8131, 0.7569], [0.2500, 0.5541, 0.8374], [0.2500, 0.1869, 0.2431], [0.7500, 0.9125, 0.4037], [0.2500, 0.7318, 0.4788]]}

{"formula": "La3TlPtCl", "functional": "PBE", "state": "relaxed", "magmom_total_mub_per_fu": 0.0, "dft_energy_ev_per_atom": -5.161, "formation_energy_uncorrected_ev_per_atom": -0.988, "mass_density_kg_m3": 8012, "lattice": [[5.2169, 0.0000, 0.0000], [0.0000, 7.4013, 0.8182], [0.0000, -1.9095, 8.9316]], "species": ["La", "Tl", "La", "Cl", "La", "La", "Cl", "La", "La", "Tl", "Pt", "Pt"], "fractional_positions": [[0.7500, 0.2745, 0.5532], [0.2500, 0.2878, 0.2558], [0.2500, 0.9992, 0.8755], [0.7500, 0.8861, 0.4163], [0.7500, 0.0008, 0.1245], [0.7500, 0.5183, 0.1448], [0.2500, 0.1139, 0.5837], [0.2500, 0.7255, 0.4468], [0.2500, 0.4817, 0.8552], [0.7500, 0.7122, 0.7442], [0.2500, 0.7435, 0.1168], [0.7500, 0.2565, 0.8832]]}

{"formula": "La2PtWCl", "functional": "PBE", "state": "relaxed", "magmom_total_mub_per_fu": 0.0, "dft_energy_ev_per_atom": -6.050, "formation_energy_uncorrected_ev_per_atom": 0.089, "mass_density_kg_m3": 8934, "lattice": [[-5.4133, 0.0305, -0.7121], [0.3444, -3.3006, -2.7592], [-0.5641, -3.5177, 4.1376]], "species": ["Pt", "Cl", "La", "W", "La"], "fractional_positions": [[0.5000, 0.5000, 0.5000], [0.0000, 0.0000, 0.0000], [0.0000, 0.0000, 0.5000], [0.0000, 0.5000, 0.0000], [0.5000, 0.0000, 0.0000]]}

{"formula": "La4ZnPtCl2", "functional": "PBE", "state": "relaxed", "magmom_total_mub_per_fu": 0.0, "dft_energy_ev_per_atom": -4.980, "formation_energy_uncorrected_ev_per_atom": -1.140, "mass_density_kg_m3": 6515, "lattice": [[4.2882, 0.0000, 0.0000], [0.0000, 7.4123, -0.1222], [0.0000, 2.6356, 7.0693]], "species": ["La", "Pt", "Cl", "La", "Cl", "La", "Zn", "La"], "fractional_positions": [[0.5000, 0.7506, 0.2385], [0.5000, 0.5000, 0.0000], [0.0000, 0.0000, 0.0000], [0.0000, 0.7366, 0.7615], [0.5000, 0.0000, 0.5000], [0.5000, 0.2494, 0.7615], [0.0000, 0.5000, 0.5000], [0.0000, 0.2634, 0.2385]]}

{"formula": "LaPuCl6", "functional": "PBE", "state": "relaxed", "magmom_total_mub_per_fu": 5.0, "dft_energy_ev_per_atom": -5.875, "formation_energy_uncorrected_ev_per_atom": -2.082, "mass_density_kg_m3": 4223, "lattice": [[-0.1680, -4.8381, -0.9029], [6.9296, -2.6826, -0.3485], [1.5626, -3.7250, 6.2347]], "species": ["Cl", "Cl", "Cl", "Cl", "Cl", "Pu", "Cl", "La"], "fractional_positions": [[0.7524, 0.2461, 0.2485], [0.2476, 0.7539, 0.7515], [0.9351, 0.3940, 0.7360], [0.0649, 0.6060, 0.2640], [0.4338, 0.9034, 0.2286], [0.0000, 0.0000, 0.0000], [0.5662, 0.0966, 0.7714], [0.5000, 0.5000, 0.5000]]}

{"formula": "La2PuCl", "functional": "PBE", "state": "relaxed", "magmom_total_mub_per_fu": 0.0, "dft_energy_ev_per_atom": -6.657, "formation_energy_uncorrected_ev_per_atom": -0.148, "mass_density_kg_m3": 9635, "lattice": [[3.7949, 0.0000, 0.0000], [1.8975, 3.2865, 0.0000], [1.8975, 1.0955, 7.7008]], "species": ["Cl", "La", "La", "Pu"], "fractional_positions": [[0.0000, 0.0000, 0.0000], [0.2345, 0.2345, 0.2966], [0.7655, 0.7655, 0.7034], [0.5000, 0.5000, 0.5000]]}

{"formula": "LaPuCl2", "functional": "PBE", "state": "relaxed", "magmom_total_mub_per_fu": 7.0, "dft_energy_ev_per_atom": -6.922, "formation_energy_uncorrected_ev_per_atom": -1.184, "mass_density_kg_m3": 6520, "lattice": [[3.6876, 0.0000, 0.0000], [1.8438, 3.1935, 0.0000], [1.8438, 1.0645, 9.8142]], "species": ["La", "Cl", "Cl", "Pu"], "fractional_positions": [[0.0000, 0.0000, 0.0000], [0.1000, 0.1000, 0.7000], [0.9000, 0.9000, 0.3000], [0.5000, 0.5000, 0.5000]]}

{"formula": "LaPuSbCl", "functional": "PBE", "state": "relaxed", "magmom_total_mub_per_fu": 6.9, "dft_energy_ev_per_atom": -7.377, "formation_energy_uncorrected_ev_per_atom": -1.070, "mass_density_kg_m3": 8147, "lattice": [[-2.7665, 4.4954, -1.0384], [-3.0165, 0.3366, -4.4416], [-5.3657, 0.0061, 0.3866]], "species": ["Sb", "Cl", "Pu", "La"], "fractional_positions": [[0.5000, 0.5000, 0.5000], [0.0000, 0.0000, 0.0000], [0.2500, 0.2500, 0.2500], [0.7500, 0.7500, 0.7500]]}

{"formula": "LaPuTe2Cl", "functional": "PBE", "state": "relaxed", "magmom_total_mub_per_fu": 5.5, "dft_energy_ev_per_atom": -6.958, "formation_energy_uncorrected_ev_per_atom": -1.480, "mass_density_kg_m3": 7070, "lattice": [[-3.4495, -0.6069, -2.8448], [-0.6329, -4.1506, 1.6529], [-9.7777, 5.7260, 10.6344]], "species": ["Pu", "Cl", "Te", "La", "Te", "Te", "Te", "Cl", "Pu", "La"], "fractional_positions": [[0.5000, 0.0000, 0.6231], [0.0000, 0.0000, 0.5000], [0.0000, 0.5000, 0.6924], [0.0000, 0.5000, 0.8958], [0.5000, 0.0000, 0.8884], [0.5000, 0.0000, 0.3076], [0.0000, 0.5000, 0.1116], [0.5000, 0.5000, 0.5000], [0.0000, 0.5000, 0.3769], [0.5000, 0.0000, 0.1042]]}

{"formula": "RbLaCl2", "functional": "PBE", "state": "relaxed", "de_polymorph_mev_per_atom": 0, "magmom_total_mub_per_fu": 0.0, "dft_energy_ev_per_atom": -3.954, "formation_energy_uncorrected_ev_per_atom": -1.557, "mass_density_kg_m3": 3123, "lattice": [[-1.7383, 7.8629, 5.7286], [2.5006, 8.2612, 4.8129], [-0.4828, 9.6719, 1.9712]], "species": ["La", "Rb", "Cl", "Cl"], "fractional_positions": [[0.0000, 0.0000, 0.0000], [0.5000, 0.5000, 0.5000], [0.0964, 0.0964, 0.0964], [0.9036, 0.9036, 0.9036]]}

{"formula": "RbLaCl4", "functional": "PBE", "state": "relaxed", "de_polymorph_mev_per_atom": 0, "magmom_total_mub_per_fu": 0.0, "dft_energy_ev_per_atom": -4.482, "formation_energy_uncorrected_ev_per_atom": -2.268, "mass_density_kg_m3": 3527, "lattice": [[-2.7656, -2.2752, -2.6621], [4.5751, -6.2906, 0.6235], [-10.3303, -5.9460, 15.8136]], "species": ["La", "Rb", "Rb", "Cl", "Cl", "La", "Cl", "Cl", "Cl", "La", "Cl", "Rb", "Cl", "Cl", "Cl", "Rb", "Cl", "Cl", "La", "Cl", "Cl", "Cl", "Cl", "Cl"], "fractional_positions": [[0.2500, 0.2505, 0.9408], [0.2500, 0.2180, 0.2040], [0.2500, 0.7180, 0.2960], [0.7500, 0.9047, 0.1920], [0.2500, 0.0953, 0.8080], [0.7500, 0.7495, 0.0592], [0.2500, 0.1405, 0.5368], [0.2500, 0.5983, 0.1335], [0.7500, 0.9929, 0.9393], [0.2500, 0.7505, 0.5592], [0.2500, 0.5071, 0.4393], [0.7500, 0.2820, 0.7040], [0.2500, 0.0071, 0.0607], [0.2500, 0.5953, 0.6920], [0.2500, 0.0983, 0.3665], [0.7500, 0.7820, 0.7960], [0.7500, 0.8595, 0.4632], [0.7500, 0.9017, 0.6335], [0.7500, 0.2495, 0.4408], [0.2500, 0.6405, 0.9632], [0.7500, 0.4047, 0.3080], [0.7500, 0.4017, 0.8665], [0.7500, 0.3595, 0.0368], [0.7500, 0.4929, 0.5607]]}

{"formula": "RbLaCl2", "functional": "PBE", "state": "relaxed", "de_polymorph_mev_per_atom": 182, "magmom_total_mub_per_fu": 1.9, "dft_energy_ev_per_atom": -3.772, "formation_energy_uncorrected_ev_per_atom": -1.375, "mass_density_kg_m3": 2827, "lattice": [[7.2980, 0.0000, 0.0000], [0.0000, 7.2980, 0.0000], [3.6490, 3.6490, 6.5129]], "species": ["La", "Cl", "Cl", "La", "Cl", "Cl", "Rb", "Rb"], "fractional_positions": [[0.7500, 0.2500, 0.5000], [0.8750, 0.9173, 0.7500], [0.6673, 0.1250, 0.2500], [0.0000, 0.0000, 0.0000], [0.3750, 0.3327, 0.7500], [0.0827, 0.6250, 0.2500], [0.5000, 0.5000, 0.0000], [0.2500, 0.7500, 0.5000]]}